Entry from the Alexandria database: an optimized crystal structure of Ni2GeIrO6 (GGA+U).

The structure in POSCAR format:
```
Ni2GeIrO6
1.0
-3.450 -1.345 -0.786
2.073 -5.249 -0.113
-1.050 -0.533 5.521
O Ni Ge Ir
6 2 1 1
Cartesian
-0.657 -0.256 -0.150 O
-0.122 -3.138 2.560 O
-2.330 -2.412 0.728 O
-1.265 -5.108 0.670 O
-1.804 -5.381 3.506 O
-2.869 -2.685 3.564 O
-3.531 -1.439 2.076 Ni
-1.970 -3.797 -0.741 Ni
-2.278 -0.888 -0.519 Ge
-1.832 -3.805 2.170 Ir
```

## Properties
The density of states at the Fermi level comes out at 0.2936 states/eV per atom. As for the total energy: -5.487 eV/atom. As for the space group: P4mm (99). The calculation puts the volume at 12.1 Å³ per atom.